# GGA-PBE Er2ScSb, relaxed
# * total energy: -20.5 eV per cell
# * total magnetic moment: 0.580 μB/cell
# * formation energy without anion corrections: -0.23 eV/atom
# * SG: R3m
data_Er2ScSb
_cell_length_a 9.2947
_cell_length_b 9.2947
_cell_length_c 9.2947
_cell_angle_alpha 24.49
_cell_angle_beta 24.49
_cell_angle_gamma 24.49
_space_group_name_H-M_alt 'P 1'
_space_group_IT_number 1
loop_
_space_group_symop_operation_xyz
'x,y,z'
loop_
_atom_site_label
_atom_site_fract_x
_atom_site_fract_y
_atom_site_fract_z
_atom_site_occupancy
Er1 0.0000 0.0000 0.0000 1
Er2 0.1906 0.1906 0.1906 1
Sc1 0.7615 0.7615 0.7615 1
Sb1 0.5958 0.5958 0.5958 1